No. 1
# Na2Mg2As

A geometry-optimized Na2Mg2As structure (PBE, Alexandria).

space-group type: P4/mmm (123)
uncorrected energy: -1.83 eV/atom
Fermi-level density of states: 2.29 states/eV per cell
offset from the most stable computed form: 401 meV/atom

POSCAR file:
```
Na2Mg2As
1.0
3.026 0.000 0.000
0.000 3.026 0.000
0.000 0.000 14.978
Na Mg As
2 2 1
direct
0.500 0.500 0.188 Na
0.500 0.500 0.812 Na
0.500 0.500 0.602 Mg
0.500 0.500 0.398 Mg
0.500 0.500 0.000 As
```

***

No. 2
# CaTa2Mo

A geometry-optimized CaTa2Mo structure (PBE, Alexandria).

space-group type: R-3m (166)
uncorrected energy: -8.46 eV/atom
Fermi-level density of states: 5.64 states/eV per cell

POSCAR file:
```
CaTa2Mo
1.0
10.778 0.010 0.006
10.375 2.921 0.006
10.375 1.437 2.542
Mo Ca Ta
1 1 2
direct
0.750 0.750 0.750 Mo
0.250 0.250 0.250 Ca
0.007 0.007 0.007 Ta
0.493 0.493 0.493 Ta
```

***

No. 3
# SrMn2Fe

A geometry-optimized SrMn2Fe structure (PBE, Alexandria).

space-group type: R3m (160)
uncorrected energy: -6.73 eV/atom
Fermi-level density of states: 4.02 states/eV per cell

POSCAR file:
```
SrMn2Fe
1.0
-1.484 1.389 -3.543
-2.765 -2.194 -2.055
-5.548 2.353 0.892
Fe Mn Sr
1 2 1
direct
0.309 0.309 0.074 Fe
0.992 0.992 0.024 Mn
0.697 0.697 0.908 Mn
0.502 0.502 0.494 Sr
```

***

| no. | energy of formation (eV/f.u.) |
| --- | --- |
| 1 | 1.3 |
| 2 | 2.7 |
| 3 | 1.6 |